Entry 1:
The following is a DFT calculation (SCAN) of a PBEsol-optimized structure of KNaP2Cl.

Cell and atoms, written as POSCAR:
```
KNaP2Cl
1.0
5.0394 0.0000 0.0000
0.0000 5.0394 0.0000
0.0000 0.0000 5.4584
K Na P Cl
1 1 2 1
direct
0.0000 0.0000 0.0000
0.5000 0.5000 0.5000
0.0000 0.5000 0.5000
0.5000 0.0000 0.5000
0.5000 0.5000 0.0000
```

Output
uncorrected formation energy = 0.16 eV per atom
spin magnetization = 2.575 μB/f.u.
SG = P4/mmm (123)

Entry 2:
The following is a DFT calculation (SCAN) of a PBEsol-optimized structure of K2LiMoBr6.

Cell and atoms, written as POSCAR:
```
K2LiMoBr6
1.0
0.0000 5.2251 5.2251
5.2251 0.0000 5.2251
5.2251 5.2251 0.0000
K Li Mo Br
2 1 1 6
direct
0.2500 0.2500 0.2500
0.7500 0.7500 0.7500
0.0000 0.0000 0.0000
0.5000 0.5000 0.5000
0.2547 0.2547 0.7453
0.2547 0.7453 0.2547
0.2547 0.7453 0.7453
0.7453 0.2547 0.2547
0.7453 0.2547 0.7453
0.7453 0.7453 0.2547
```

Output
uncorrected formation energy = -1.38 eV per atom
spin magnetization = 3.000 μB/f.u.
SG = Fm-3m (225)

Entry 3:
The following is a DFT calculation (SCAN) of a PBEsol-optimized structure of KZr3Tl.

Cell and atoms, written as POSCAR:
```
KZr3Tl
1.0
5.4642 0.0000 0.0000
0.0000 5.4642 0.0000
0.0000 0.0000 5.4642
K Zr Tl
1 3 1
direct
0.0000 0.0000 0.0000
0.0000 0.5000 0.5000
0.5000 0.0000 0.5000
0.5000 0.5000 0.0000
0.5000 0.5000 0.5000
```

Output
spin magnetization = 3.032 μB/f.u.
SG = Pm-3m (221)
energy relative to the elements = 1.11 eV/atom

Entry 4:
The following is a DFT calculation (SCAN) of a PBEsol-optimized structure of PdSe3Cl.

Cell and atoms, written as POSCAR:
```
PdSe3Cl
1.0
4.8650 0.0000 0.0000
0.0000 4.8650 0.0000
0.0000 0.0000 4.8650
Pd Se Cl
1 3 1
direct
0.0000 0.0000 0.0000
0.0000 0.0000 0.5000
0.0000 0.5000 0.0000
0.5000 0.0000 0.0000
0.5000 0.5000 0.5000
```

Output
uncorrected formation energy = 0.56 eV per atom
spin magnetization = 0.005 μB/f.u.
SG = Pm-3m (221)

Entry 5:
The following is a DFT calculation (SCAN) of a PBEsol-optimized structure of TaAlHg.

Cell and atoms, written as POSCAR:
```
TaAlHg
1.0
0.0000 3.0852 3.0852
3.0852 0.0000 3.0852
3.0852 3.0852 0.0000
Ta Al Hg
1 1 1
direct
0.0000 0.0000 0.0000
0.7500 0.7500 0.7500
0.5000 0.5000 0.5000
```

Output
excess energy over the best structure of this formula in the dataset = 0.000 eV per atom
spin magnetization = 0.000 μB/f.u.
SG = F-43m (216)
energy relative to the elements = 0.63 eV/atom

Entry 6:
The following is a DFT calculation (SCAN) of a PBEsol-optimized structure of LiCdPb2.

Cell and atoms, written as POSCAR:
```
LiCdPb2
1.0
5.5651 -1.6660 0.0000
5.5651 1.6660 0.0000
-1.6869 0.0000 5.2385
Li Cd Pb
1 1 2
direct
0.0000 0.0000 0.0000
0.2861 0.2861 0.6928
0.5224 0.5224 0.5072
0.7469 0.7469 0.1565
```

Output
spin magnetization = 0.000 μB/f.u.
SG = Cm (8)
energy relative to the elements = -0.14 eV/atom

Entry 7:
The following is a DFT calculation (SCAN) of a PBEsol-optimized structure of ZnTeSI2.

Cell and atoms, written as POSCAR:
```
ZnTeSI2
1.0
5.3035 0.0000 0.0000
0.0000 5.3035 0.0000
0.0000 0.0000 5.4669
Zn Te S I
1 1 1 2
direct
0.0000 0.0000 0.0000
0.5000 0.5000 0.0000
0.5000 0.5000 0.5000
0.0000 0.5000 0.5000
0.5000 0.0000 0.5000
```

Output
uncorrected formation energy = 0.53 eV per atom
spin magnetization = 0.001 μB/f.u.
SG = P4/mmm (123)

Entry 8:
The following is a DFT calculation (SCAN) of a PBEsol-optimized structure of Na3SbIr.

Cell and atoms, written as POSCAR:
```
Na3SbIr
1.0
5.6858 0.0000 0.0000
0.0000 5.6858 0.0000
0.0000 0.0000 5.6858
Na Sb Ir
3 1 1
direct
0.0000 0.0000 0.5000
0.0000 0.5000 0.0000
0.5000 0.0000 0.0000
0.0000 0.0000 0.0000
0.5000 0.5000 0.5000
```

Output
uncorrected formation energy = 0.95 eV per atom
spin magnetization = 3.002 μB/f.u.
SG = Pm-3m (221)

Entry 9:
The following is a DFT calculation (SCAN) of a PBEsol-optimized structure of ErTiClO3.

Cell and atoms, written as POSCAR:
```
ErTiClO3
1.0
4.8759 -1.9246 0.0000
4.8759 1.9246 0.0000
-2.7311 0.0000 9.1963
Er Ti Cl O
2 2 2 6
direct
0.2235 0.2235 0.2028
0.7765 0.7765 0.7972
0.3816 0.3816 0.5720
0.6184 0.6184 0.4280
0.1136 0.1136 0.9047
0.8864 0.8864 0.0953
0.1691 0.1691 0.4327
0.3507 0.3507 0.7549
0.4217 0.4217 0.3732
0.5783 0.5783 0.6268
0.6493 0.6493 0.2451
0.8309 0.8309 0.5673
```

Output
uncorrected formation energy = -3.41 eV per atom
spin magnetization = 0.000 μB/f.u.
SG = C2/m (12)

Entry 10:
The following is a DFT calculation (SCAN) of a PBEsol-optimized structure of MnCoSe2.

Cell and atoms, written as POSCAR:
```
MnCoSe2
1.0
-1.5757 1.7056 5.6440
1.5757 -1.7056 5.6440
1.5757 1.7056 -5.6440
Mn Co Se
1 1 2
direct
0.0000 0.0000 0.0000
0.7905 0.2905 0.5000
0.3410 0.8410 0.5000
0.6032 0.6032 0.0000
```

Output
uncorrected formation energy = -0.14 eV per atom
excess energy over the best structure of this formula in the dataset = 0.261 eV per atom
spin magnetization = 5.102 μB/f.u.
SG = Imm2 (44)

Entry 11:
The following is a DFT calculation (SCAN) of a PBEsol-optimized structure of SrCdFe2.

Cell and atoms, written as POSCAR:
```
SrCdFe2
1.0
4.2558 0.0000 0.0000
0.0000 4.2558 0.0000
0.0000 0.0000 4.1490
Sr Cd Fe
1 1 2
direct
0.0000 0.0000 0.0000
0.5000 0.5000 0.0000
0.0000 0.5000 0.5000
0.5000 0.0000 0.5000
```

Output
spin magnetization = 5.392 μB/f.u.
SG = P4/mmm (123)
energy relative to the elements = 0.70 eV/atom

Entry 12:
The following is a DFT calculation (SCAN) of a PBEsol-optimized structure of BeIn2Ni.

Cell and atoms, written as POSCAR:
```
BeIn2Ni
1.0
0.0000 3.1755 3.1755
3.1755 0.0000 3.1755
3.1755 3.1755 0.0000
Be In Ni
1 2 1
direct
0.0000 0.0000 0.0000
0.5000 0.5000 0.5000
0.7500 0.7500 0.7500
0.2500 0.2500 0.2500
```

Output
excess energy over the best structure of this formula in the dataset = 0.417 eV per atom
spin magnetization = 0.000 μB/f.u.
SG = F-43m (216)
energy relative to the elements = 0.48 eV/atom

Entry 13:
The following is a DFT calculation (SCAN) of a PBEsol-optimized structure of ZrAg2Hg.

Cell and atoms, written as POSCAR:
```
ZrAg2Hg
1.0
4.7689 -1.4857 0.0000
4.7689 1.4857 0.0000
-0.8660 0.0000 5.3235
Zr Ag Hg
1 2 1
direct
0.0000 0.0000 0.0000
0.2470 0.2470 0.7457
0.5007 0.5007 0.5107
0.7517 0.7517 0.2648
```

Output
spin magnetization = 0.000 μB/f.u.
SG = Cm (8)
energy relative to the elements = 0.00 eV/atom

Entry 14:
The following is a DFT calculation (SCAN) of a PBEsol-optimized structure of FeP3Ru.

Cell and atoms, written as POSCAR:
```
FeP3Ru
1.0
4.5036 0.0000 0.0000
0.0000 4.5036 0.0000
0.0000 0.0000 4.5036
Fe P Ru
1 3 1
direct
0.0000 0.0000 0.0000
0.0000 0.5000 0.5000
0.5000 0.0000 0.5000
0.5000 0.5000 0.0000
0.5000 0.5000 0.5000
```

Output
spin magnetization = 2.896 μB/f.u.
SG = Pm-3m (221)
energy relative to the elements = 1.02 eV/atom

Entry 15:
The following is a DFT calculation (SCAN) of a PBEsol-optimized structure of Ca2Cd2Ga.

Cell and atoms, written as POSCAR:
```
Ca2Cd2Ga
1.0
-1.9476 1.9476 9.0632
1.9476 -1.9476 9.0632
1.9476 1.9476 -9.0632
Ca Cd Ga
2 2 1
direct
0.0947 0.0947 0.0000
0.9053 0.9053 0.0000
0.2500 0.7500 0.5000
0.7500 0.2500 0.5000
0.5000 0.5000 0.0000
```

Output
spin magnetization = 0.055 μB/f.u.
SG = I4/mmm (139)
energy relative to the elements = -0.18 eV/atom

Entry 16:
The following is a DFT calculation (SCAN) of a PBEsol-optimized structure of ZrAl2In.

Cell and atoms, written as POSCAR:
```
ZrAl2In
1.0
-2.0048 2.0048 4.6305
2.0048 -2.0048 4.6305
2.0048 2.0048 -4.6305
Zr Al In
1 2 1
direct
0.0000 0.0000 0.0000
0.2500 0.7500 0.5000
0.5000 0.5000 0.0000
0.7500 0.2500 0.5000
```

Output
spin magnetization = 0.000 μB/f.u.
SG = I-4m2 (119)
energy relative to the elements = -0.43 eV/atom

Entry 17:
The following is a DFT calculation (SCAN) of a PBEsol-optimized structure of VPO4.

Cell and atoms, written as POSCAR:
```
VPO4
1.0
2.6008 -3.9119 0.0000
2.6008 3.9119 0.0000
0.0000 0.0000 6.2700
V P O
2 2 8
direct
0.0000 0.0000 0.0000
0.0000 0.0000 0.5000
0.3493 0.6507 0.7500
0.6507 0.3493 0.2500
0.2192 0.2873 0.7500
0.2429 0.7571 0.5465
0.2429 0.7571 0.9535
0.2873 0.2192 0.2500
0.7127 0.7808 0.7500
0.7571 0.2429 0.0465
0.7571 0.2429 0.4535
0.7808 0.7127 0.2500
```

Output
uncorrected formation energy = -2.61 eV per atom
spin magnetization = 2.000 μB/f.u.
SG = Cmcm (63)

Entry 18:
The following is a DFT calculation (SCAN) of a PBEsol-optimized structure of NaAs3Cl.

Cell and atoms, written as POSCAR:
```
NaAs3Cl
1.0
4.9603 0.0000 0.0000
0.0000 4.9603 0.0000
0.0000 0.0000 4.9603
Na As Cl
1 3 1
direct
0.0000 0.0000 0.0000
0.0000 0.5000 0.5000
0.5000 0.0000 0.5000
0.5000 0.5000 0.0000
0.5000 0.5000 0.5000
```

Output
uncorrected formation energy = 0.76 eV per atom
spin magnetization = 0.000 μB/f.u.
SG = Pm-3m (221)

Entry 19:
The following is a DFT calculation (SCAN) of a PBEsol-optimized structure of Cs2RbNa2.

Cell and atoms, written as POSCAR:
```
Cs2RbNa2
1.0
-2.4645 2.4645 15.1873
2.4645 -2.4645 15.1873
2.4645 2.4645 -15.1873
Cs Rb Na
2 1 2
direct
0.1279 0.1279 0.0000
0.8721 0.8721 0.0000
0.5000 0.5000 0.0000
0.2500 0.7500 0.5000
0.7500 0.2500 0.5000
```

Output
excess energy over the best structure of this formula in the dataset = 0.000 eV per atom
spin magnetization = 0.157 μB/f.u.
SG = I4/mmm (139)
energy relative to the elements = 0.04 eV/atom

Entry 20:
The following is a DFT calculation (SCAN) of a PBEsol-optimized structure of Mg2ScCr.

Cell and atoms, written as POSCAR:
```
Mg2ScCr
1.0
-2.1035 2.1035 4.4612
2.1035 -2.1035 4.4612
2.1035 2.1035 -4.4612
Mg Sc Cr
2 1 1
direct
0.2500 0.7500 0.5000
0.7500 0.2500 0.5000
0.0000 0.0000 0.0000
0.5000 0.5000 0.0000
```

Output
excess energy over the best structure of this formula in the dataset = 0.000 eV per atom
spin magnetization = 3.406 μB/f.u.
SG = I4/mmm (139)
energy relative to the elements = 0.06 eV/atom